Entry 1:
PuBIr | PBE | relaxed Values from VASP.

The structure in Quantum ESPRESSO input format:
```
&SYSTEM
  ibrav = 0, nat = 3, ntyp = 3
/
ATOMIC_SPECIES
B 10.81 B.upf
Ir 192.22 Ir.upf
Pu 244.00 Pu.upf
CELL_PARAMETERS angstrom
-0.093 -2.892 3.075
0.163 -4.108 -0.961
3.464 -2.242 0.895
ATOMIC_POSITIONS crystal
B 0.750 0.750 0.750
Ir 0.000 0.000 0.000
Pu 0.250 0.250 0.250
```

M_tot in Bohr magnetons per cell: 4.82
Polymorph energy (0 for the lowest one) in meV/atom: 0
Crystal system: cubic
Total energy in eV per atom: -9.4034
Symmetry: F-43m (216)

=====

Entry 2:
PuBIr | PBE | relaxed Values from VASP.

The structure in Quantum ESPRESSO input format:
```
&SYSTEM
  ibrav = 0, nat = 3, ntyp = 3
/
ATOMIC_SPECIES
B 10.81 B.upf
Ir 192.22 Ir.upf
Pu 244.00 Pu.upf
CELL_PARAMETERS angstrom
-0.863 -3.317 2.515
-0.153 0.513 4.217
-3.727 -0.213 2.033
ATOMIC_POSITIONS crystal
B 0.000 0.000 0.000
Ir 0.500 0.500 0.500
Pu 0.750 0.750 0.750
```

M_tot in Bohr magnetons per cell: 4.34
Polymorph energy (0 for the lowest one) in meV/atom: 408
Crystal system: cubic
Total energy in eV per atom: -8.9951
Symmetry: F-43m (216)